A geometry-optimized Nd4Y2Er5 structure, computed with PBE-GGA.

Values from the calculation:
energy of formation from the pure elements: 0.088 eV/atom
N(E_F): 19.53 states/eV per cell
space group: C2/m, No. 12
spin magnetization: 0.0 μB/f.u.

Cell: 8.7782 8.7782 9.1022 Å, 121.04 121.04 37.91°
Element x y z (fractional)
Nd  0.0968  0.0968  0.4525
Nd  0.3586  0.3586  0.7645
Nd  0.6414  0.6414  0.2355
Nd  0.9032  0.9032  0.5475
Y  0.4438  0.4438  0.2390
Y  0.5562  0.5562  0.7610
Er  0.0000  0.0000  0.0000
Er  0.1944  0.1944  0.8876
Er  0.2645  0.2645  0.3100
Er  0.7355  0.7355  0.6900
Er  0.8056  0.8056  0.1124

A geometry-optimized NdY2Er5 structure, computed with PBE-GGA.

Values from the calculation:
energy of formation from the pure elements: 0.005 eV/atom
N(E_F): 28.00 states/eV per cell
space group: P-1, No. 2
spin magnetization: 0.0 μB/f.u.

Cell: 6.2663 6.6951 12.2288 Å, 95.24 90.04 90.00°
Element x y z (fractional)
Nd  0.1681  0.0644  0.1906
Nd  0.8319  0.9356  0.8094
Y  0.1662  0.3129  0.9361
Y  0.3346  0.8084  0.9361
Y  0.6654  0.1916  0.0639
Y  0.8338  0.6871  0.0639
Er  0.1651  0.5594  0.6841
Er  0.1665  0.8133  0.4388
Er  0.3336  0.0619  0.6843
Er  0.3353  0.3151  0.4389
Er  0.3353  0.5640  0.1908
Er  0.6647  0.4360  0.8092
Er  0.6647  0.6849  0.5611
Er  0.6664  0.9381  0.3157
Er  0.8335  0.1867  0.5612
Er  0.8349  0.4406  0.3159